Computed, not measured: crystalline LaPrP2Pd2O2 at its relaxed geometry at the PBE-GGA level of DFT.

Cell: 4.1483 4.1483 8.1916 Å, 90.00 90.00 90.00°
Closest atoms and distances in Å follow each position.
Atoms (fractional coordinates):
La  0.0000  0.0000  0.1407  4 O 2.38
O  0.5000  0.0000  0.9982  2 La 2.38, 2 Pr 2.38
O  0.0000  0.5000  0.9982  2 La 2.38, 2 Pr 2.38
P  0.5000  0.5000  0.3523  4 Pd 2.41
P  0.0000  0.0000  0.6515  4 Pd 2.41
Pd  0.5000  0.0000  0.5023  4 P 2.41
Pd  0.0000  0.5000  0.5023  4 P 2.41
Pr  0.5000  0.5000  0.8545  4 O 2.38

Summary:
Energy, eV/atom: -6.990
Spin magnetization, μB per atom: 0.00